# 1
Below is an optimized crystal structure of Zr2ScRu, with properties calculated at the PBE level.

abc: 3.271 3.271 7.624
angles: 90.00 90.00 90.00
Atoms (fractional coordinates):
Zr 0.000 0.000 0.000
Zr 0.500 0.500 0.277
Sc 0.500 0.500 0.692
Ru 0.000 0.000 0.486

Properties
- ΔE to the lowest computed polymorph (meV/atom) = 17.9
- space-group type = No. 99
- spin magnetization (μB/f.u.) = 0.0
- energy of formation (meV/atom) = -317

***

# 2
Below is an optimized crystal structure of Zr2ScRu, with properties calculated at the PBE level.

abc: 5.779 5.779 5.779
angles: 146.26 129.48 62.13
Atoms (fractional coordinates):
Zr 0.213 0.213 0.000
Zr 0.787 0.787 0.000
Sc 0.500 0.000 0.500
Ru 0.000 0.500 0.500

Properties
- ΔE to the lowest computed polymorph (meV/atom) = 0.0
- space-group type = No. 71
- spin magnetization (μB/f.u.) = 0.0
- energy of formation (meV/atom) = -335

***

# 3
Below is an optimized crystal structure of Zr5ScRu4, with properties calculated at the PBE level.

abc: 3.280 3.280 17.358
angles: 90.00 90.00 90.00
Atoms (fractional coordinates):
Zr 0.000 0.000 0.000
Zr 0.000 0.000 0.189
Zr 0.000 0.000 0.377
Zr 0.000 0.000 0.623
Zr 0.000 0.000 0.811
Sc 0.500 0.500 0.500
Ru 0.500 0.500 0.095
Ru 0.500 0.500 0.284
Ru 0.500 0.500 0.716
Ru 0.500 0.500 0.905

Properties
- space-group type = No. 123
- spin magnetization (μB/f.u.) = 0.4
- energy of formation (meV/atom) = -481

***

# 4
Below is an optimized crystal structure of Zr2ScRu, with properties calculated at the PBE level.

abc: 6.224 6.224 6.224
angles: 102.71 102.71 124.05
Atoms (fractional coordinates):
Zr 0.070 0.625 0.945
Zr 0.375 0.320 0.445
Zr 0.680 0.125 0.055
Zr 0.875 0.930 0.555
Sc 0.250 0.750 0.500
Sc 0.500 0.500 0.000
Ru 0.000 0.000 0.000
Ru 0.750 0.250 0.500

Properties
- ΔE to the lowest computed polymorph (meV/atom) = 349.6
- space-group type = No. 122
- spin magnetization (μB/f.u.) = 0.0
- energy of formation (meV/atom) = 14